[1]
The following is a PBE calculation of an optimized crystal structure of NaYTlPd, from Alexandria via LeMat-Bulk.

Structure (extended XYZ):
```
4
Lattice="0.0000 3.5947 3.5947 3.5947 0.0000 3.5947 3.5947 3.5947 0.0000" Properties=species:S:1:pos:R:3 pbc="T T T"
Na 0.0000 0.0000 0.0000
Y 3.5947 3.5947 3.5947
Tl 5.3921 5.3921 5.3921
Pd 1.7974 1.7974 1.7974
```

Values from the calculation:
space group	F-43m, No. 216
calculated formation energy	-0.29	eV per atom

---

[2]
The following is a PBE calculation of an optimized crystal structure of BaAlSb2O8, from Alexandria via LeMat-Bulk.

Structure (extended XYZ):
```
12
Lattice="5.0484 0.0000 0.0000 0.0000 6.5458 0.0000 -0.6820 0.0000 5.0068" Properties=species:S:1:pos:R:3 pbc="T T T"
Ba 0.0000 0.0000 0.0000
Al 0.0000 3.2729 0.0000
Sb 2.1832 1.7159 2.5034
Sb 2.1832 4.8299 2.5034
O 0.8983 2.0062 1.0133
O 0.8983 4.5396 1.0133
O 1.1172 3.2729 3.4228
O 1.2579 0.0000 3.2916
O 3.1085 0.0000 1.7153
O 3.2492 3.2729 1.5840
O 3.4681 2.0062 3.9935
O 3.4681 4.5396 3.9935
```

Values from the calculation:
space group	P2/m, No. 10

---

[3]
The following is a PBE calculation of an optimized crystal structure of Ba5TaN4Cl2, from Alexandria via LeMat-Bulk.

Structure (extended XYZ):
```
12
Lattice="8.6629 0.0000 0.0000 0.0000 5.3081 3.3072 0.0000 -5.3081 3.3072" Properties=species:S:1:pos:R:3 pbc="T T T"
Ba 0.0000 0.0000 0.0000
Ba 2.6011 -1.8764 2.7907
Ba 2.6011 1.8764 2.7907
Ba 6.0618 -1.8764 2.7907
Ba 6.0618 1.8764 2.7907
Ta 4.3314 0.0000 6.1924
N 2.7217 0.0000 0.7538
N 4.3314 -1.6342 5.0327
N 4.3314 1.6342 5.0327
N 5.9412 0.0000 0.7538
Cl 0.0000 -2.4138 4.6114
Cl 0.0000 2.4138 4.6114
```

Values from the calculation:
space group	Amm2, No. 38

---

Number 1: V 23.2 Å³ per atom, total DFT energy (no corrections) -4.123 eV per atom. Number 2: V 13.8 Å³ per atom, total DFT energy (no corrections) -6.087 eV per atom. Number 3: V 25.3 Å³ per atom, total DFT energy (no corrections) -6.053 eV per atom.